KMg2Se | PBE | optimized geometry

Properties
* E_tot: -2.282 eV/atom
* formation energy without anion corrections: -0.340 eV per atom
* space group: R-3m (166)

Cell lengths 9.9003, 9.9003, 9.9003 Å; angles 23.03, 23.03, 23.03 degrees
Element x y z (fractional)
Se1 0.2500 0.2500 0.2500
Mg1 0.9711 0.9711 0.9711
Mg2 0.5289 0.5289 0.5289
K1 0.7500 0.7500 0.7500